NiI2OF after structural relaxation, computed with PBE with a Hubbard U.

Unit cell a=5.1071 b=5.1071 c=3.9154 alpha=90.00 beta=90.00 gamma=90.00
Closest atoms and distances in Å follow each position.
Positions (direct):
I 0.0000 0.5000 0.0000  2 F 2.55
Ni 0.5000 0.5000 0.5000  8 I 3.22
F 0.0000 0.0000 0.0000  2 O 1.96
O 0.0000 0.0000 0.5000  2 F 1.96
I 0.5000 0.0000 0.0000  2 F 2.55

## Properties
Energy above the most stable polymorph in this dataset   810 meV per atom
Total magnetic moment   1.9 μB per cell
Symmetry   P4/mmm